PBE YFeTc2, relaxed; ΔE_f = 231 meV/atom; final energy = -34.73 eV/cell; excess energy over the best structure of this formula in the dataset = 86 meV per atom
1.0
-2.286 3.890 0.299
-1.986 1.743 -3.669
-4.509 0.005 -0.343
Tc Y Fe
2 1 1
Direct
0.000 0.000 0.000
0.250 0.250 0.250
0.750 0.750 0.750
0.500 0.500 0.500